Record 1
This record from Alexandria via LeMat-Bulk describes a relaxed Ta4Nb3V crystal. The functional is PBE.

Cell lengths 3.2870, 3.2870, 13.1066 Å; angles 90.00, 90.00, 90.00 degrees
With the nearest neighbours (Å) after each atom.
Sites, in units of the cell vectors:
Nb  0.5000  0.5000  0.2441  8 Ta 2.86-2.87, 1 V 3.20
Nb  0.5000  0.5000  0.5000  8 Ta 2.87
Nb  0.5000  0.5000  0.7559  8 Ta 2.86-2.87, 1 V 3.20
V  0.5000  0.5000  0.0000  8 Ta 2.78
Ta  0.0000  0.0000  0.8842  4 V 2.78, 4 Nb 2.87, 1 Ta 3.04
Ta  0.0000  0.0000  0.1158  4 V 2.78, 4 Nb 2.87, 1 Ta 3.04
Ta  0.0000  0.0000  0.3716  8 Nb 2.86-2.87
Ta  0.0000  0.0000  0.6284  8 Nb 2.86-2.87

Computed properties:
* DOS(E_F): 14.4 states/eV/f.u.
* raw total energy: -0.39814 hartree per atom
* calculated volume: 142 Å³/cell
* formation energy from the elements: 0.07 eV/f.u.
* symmetry: P4/mmm

Record 2
This record from Alexandria via LeMat-Bulk describes a relaxed TaNb2V crystal. The functional is PBE.

Cell lengths 7.2206, 7.2206, 5.8129 Å; angles 51.60, 51.60, 90.00 degrees
With the nearest neighbours (Å) after each atom.
Sites, in units of the cell vectors:
Nb  0.6059  0.1250  0.2500  2 V 2.55, 2 Ta 2.74, 2 Nb 2.79
Nb  0.1441  0.6250  0.2500  2 V 2.55, 2 Ta 2.74, 2 Nb 2.79
Nb  0.3750  0.3941  0.7500  2 V 2.55, 2 Ta 2.74, 2 Nb 2.79
Nb  0.8750  0.8559  0.7500  2 V 2.55, 2 Ta 2.74, 2 Nb 2.79
Ta  0.0000  0.0000  0.0000  4 Nb 2.74, 2 V 2.78
Ta  0.7500  0.2500  0.5000  4 Nb 2.74, 2 V 2.78
V  0.5000  0.5000  0.0000  4 Nb 2.55, 2 Ta 2.78
V  0.2500  0.7500  0.5000  4 Nb 2.55, 2 Ta 2.78

Computed properties:
* DOS(E_F): 5.4 states/eV/f.u.
* raw total energy: -0.35561 hartree per atom
* calculated volume: 145 Å³/cell
* formation energy from the elements: 2.40 eV/f.u.
* symmetry: I-42d

Record 3
This record from Alexandria via LeMat-Bulk describes a relaxed TaNb3V8 crystal. The functional is PBE.

Cell lengths 5.0936, 5.0936, 8.1345 Å; angles 90.00, 90.00, 120.00 degrees
With the nearest neighbours (Å) after each atom.
Sites, in units of the cell vectors:
Ta  0.0000  0.0000  0.5624  12 V 2.92-2.98, 4 Nb 3.05-3.11
Nb  0.6667  0.3333  0.4390  12 V 2.91-2.98, 1 Nb 3.07, 3 Ta 3.11
Nb  0.6667  0.3333  0.0616  12 V 2.92-2.98, 4 Nb 3.07-3.11
Nb  0.0000  0.0000  0.9374  12 V 2.93-2.98, 1 Ta 3.05, 3 Nb 3.11
V  0.3333  0.6667  0.4999  6 V 2.52
V  0.3333  0.6667  0.9999  6 V 2.53
V  0.5027  0.0055  0.7494  6 V 2.51-2.59
V  0.5027  0.4973  0.7494  6 V 2.51-2.59
V  0.9945  0.4973  0.7494  6 V 2.51-2.59
V  0.1638  0.3275  0.2506  6 V 2.50-2.59
V  0.1638  0.8362  0.2506  6 V 2.50-2.59
V  0.6725  0.8362  0.2506  6 V 2.50-2.59

Computed properties:
* DOS(E_F): 11.2 states/eV/f.u.
* raw total energy: -0.35522 hartree per atom
* calculated volume: 183 Å³/cell
* formation energy from the elements: -0.98 eV/f.u.
* symmetry: P3m1

Record 4
This record from Alexandria via LeMat-Bulk describes a relaxed TaNb2V2 crystal. The functional is PBE.

Cell lengths 2.6290, 4.7250, 13.5765 Å; angles 90.01, 90.00, 90.00 degrees
With the nearest neighbours (Å) after each atom.
Sites, in units of the cell vectors:
Ta  0.2500  0.7495  0.2472  2 Ta 2.63
Ta  0.7500  0.2505  0.7528  2 Ta 2.63
Nb  0.2500  0.7507  0.8560  2 Nb 2.63, 5 V 2.71-2.90
Nb  0.7500  0.2493  0.1440  2 Nb 2.63, 5 V 2.71-2.90
Nb  0.2500  0.2500  0.5498  2 Nb 2.63, 2 V 2.76
Nb  0.7500  0.7500  0.4502  2 Nb 2.63, 2 V 2.76
V  0.2500  0.7503  0.6549  2 V 2.63, 3 Nb 2.73-2.76
V  0.7500  0.2497  0.3451  2 V 2.63, 3 Nb 2.73-2.76
V  0.2500  0.2504  0.9536  2 V 2.63, 4 Nb 2.71-2.90
V  0.7500  0.7496  0.0464  2 V 2.63, 4 Nb 2.71-2.90

Computed properties:
* DOS(E_F): 6.3 states/eV/f.u.
* raw total energy: -0.36013 hartree per atom
* calculated volume: 169 Å³/cell
* formation energy from the elements: 1.23 eV/f.u.
* symmetry: P2_1/m

Record 5
This record from Alexandria via LeMat-Bulk describes a relaxed Ta3NbV crystal. The functional is PBE.

Cell lengths 4.6309, 4.6309, 4.6309 Å; angles 90.00, 90.00, 90.00 degrees
With the nearest neighbours (Å) after each atom.
Sites, in units of the cell vectors:
Nb  0.5000  0.5000  0.5000  12 Ta 3.27
Ta  0.0000  0.5000  0.0000  2 V 2.32
Ta  0.0000  0.0000  0.5000  2 V 2.32
Ta  0.5000  0.0000  0.0000  2 V 2.32
V  0.0000  0.0000  0.0000  6 Ta 2.32

Computed properties:
* DOS(E_F): 3.9 states/eV/f.u.
* raw total energy: -0.36197 hartree per atom
* calculated volume: 99 Å³/cell
* formation energy from the elements: 5.50 eV/f.u.
* symmetry: Pm-3m

Record 6
This record from Alexandria via LeMat-Bulk describes a relaxed Ta4NbV crystal. The functional is PBE.

Cell lengths 3.2688, 5.4410, 7.1331 Å; angles 110.45, 103.25, 107.48 degrees
With the nearest neighbours (Å) after each atom.
Sites, in units of the cell vectors:
Ta  0.1604  0.9983  0.8260  2 V 2.78, 2 Nb 2.83, 4 Ta 2.89-2.94
Ta  0.8353  0.9963  0.1777  2 V 2.78, 2 Nb 2.83, 4 Ta 2.89-2.94
Ta  0.6733  0.5105  0.3396  2 V 2.79, 2 Nb 2.83, 4 Ta 2.84-2.89
Ta  0.3224  0.4841  0.6641  2 V 2.79, 2 Nb 2.83, 4 Ta 2.84-2.89
Nb  0.9978  0.4973  0.0019  8 Ta 2.83
V  0.4978  0.9973  0.5019  8 Ta 2.78-2.79

Computed properties:
* DOS(E_F): 10.0 states/eV/f.u.
* raw total energy: -0.40728 hartree per atom
* calculated volume: 105 Å³/cell
* formation energy from the elements: 0.10 eV/f.u.
* symmetry: C2/m

Record 7
This record from Alexandria via LeMat-Bulk describes a relaxed TaNb2V crystal. The functional is PBE.

Cell lengths 3.2441, 3.2441, 6.5165 Å; angles 90.00, 90.00, 90.00 degrees
With the nearest neighbours (Å) after each atom.
Sites, in units of the cell vectors:
Nb  0.0000  0.0000  0.7621  4 V 2.77, 4 Ta 2.86, 1 Nb 3.10
Nb  0.0000  0.0000  0.2379  4 V 2.77, 4 Ta 2.86, 1 Nb 3.10
V  0.5000  0.5000  0.0000  8 Nb 2.77
Ta  0.5000  0.5000  0.5000  8 Nb 2.86

Computed properties:
* DOS(E_F): 7.7 states/eV/f.u.
* raw total energy: -0.37655 hartree per atom
* calculated volume: 69 Å³/cell
* formation energy from the elements: 0.13 eV/f.u.
* symmetry: P4/mmm

Record 8
This record from Alexandria via LeMat-Bulk describes a relaxed Ta3NbV crystal. The functional is PBE.

Cell lengths 5.8285, 6.1048, 6.1048 Å; angles 120.00, 90.00, 90.00 degrees
With the nearest neighbours (Å) after each atom.
Sites, in units of the cell vectors:
Ta  0.7500  0.3742  0.4324  2 V 2.60, 2 Ta 2.72, 2 Nb 2.88
Ta  0.7500  0.0582  0.6258  2 V 2.60, 2 Ta 2.72, 2 Nb 2.88
Ta  0.7500  0.5676  0.9418  2 V 2.60, 2 Ta 2.72, 2 Nb 2.88
Ta  0.2500  0.5676  0.6258  2 V 2.60, 2 Ta 2.72, 2 Nb 2.88
Ta  0.2500  0.3742  0.9418  2 V 2.60, 2 Ta 2.72, 2 Nb 2.88
Ta  0.2500  0.0582  0.4324  2 V 2.60, 2 Ta 2.72, 2 Nb 2.88
Nb  0.0000  0.0000  0.0000  6 Ta 2.88, 2 Nb 2.91
Nb  0.5000  0.0000  0.0000  6 Ta 2.88, 2 Nb 2.91
V  0.5000  0.6667  0.3333  6 Ta 2.60
V  0.0000  0.6667  0.3333  6 Ta 2.60

Computed properties:
* DOS(E_F): 6.4 states/eV/f.u.
* raw total energy: -0.37649 hartree per atom
* calculated volume: 188 Å³/cell
* formation energy from the elements: 3.52 eV/f.u.
* symmetry: P-6c2

Record 9
This record from Alexandria via LeMat-Bulk describes a relaxed Ta5Nb4V crystal. The functional is PBE.

Cell lengths 3.2913, 3.2913, 16.4453 Å; angles 90.00, 90.00, 90.00 degrees
With the nearest neighbours (Å) after each atom.
Sites, in units of the cell vectors:
Ta  0.5000  0.5000  0.0924  4 V 2.78, 4 Nb 2.87, 1 Ta 3.04
Ta  0.5000  0.5000  0.2958  8 Nb 2.86-2.87
Ta  0.5000  0.5000  0.5000  8 Nb 2.87
Ta  0.5000  0.5000  0.7042  8 Nb 2.86-2.87
Ta  0.5000  0.5000  0.9076  4 V 2.78, 4 Nb 2.87, 1 Ta 3.04
Nb  0.0000  0.0000  0.1943  8 Ta 2.86-2.87, 1 V 3.20
Nb  0.0000  0.0000  0.3980  8 Ta 2.87
Nb  0.0000  0.0000  0.6020  8 Ta 2.87
Nb  0.0000  0.0000  0.8057  8 Ta 2.86-2.87, 1 V 3.20
V  0.0000  0.0000  0.0000  8 Ta 2.78

Computed properties:
* DOS(E_F): 15.0 states/eV/f.u.
* raw total energy: -0.39926 hartree per atom
* calculated volume: 178 Å³/cell
* formation energy from the elements: 0.02 eV/f.u.
* symmetry: P4/mmm

Record 10
This record from Alexandria via LeMat-Bulk describes a relaxed TaNbW4 crystal. The functional is PBE.

Cell lengths 3.2166, 5.3542, 6.4339 Å; angles 72.55, 90.00, 72.52 degrees
With the nearest neighbours (Å) after each atom.
Sites, in units of the cell vectors:
Ta  0.5006  0.4954  0.0018  8 W 2.81
Nb  0.5006  0.4954  0.5019  8 W 2.81
W  0.1709  0.1546  0.8369  4 W 2.75, 2 Nb 2.81, 2 Ta 2.81
W  0.8302  0.8362  0.1669  4 W 2.75, 2 Nb 2.81, 2 Ta 2.81
W  0.1704  0.1557  0.3368  4 W 2.75, 2 Nb 2.81, 2 Ta 2.81
W  0.8307  0.8352  0.6669  4 W 2.75, 2 Nb 2.81, 2 Ta 2.81

Computed properties:
* DOS(E_F): 2.5 states/eV/f.u.
* raw total energy: -0.45503 hartree per atom
* calculated volume: 100 Å³/cell
* formation energy from the elements: -0.56 eV/f.u.
* symmetry: C2/m

Record 11
This record from Alexandria via LeMat-Bulk describes a relaxed TaNbW3 crystal. The functional is PBE.

Cell lengths 4.7411, 4.7411, 4.7411 Å; angles 90.00, 90.00, 90.00 degrees
With the nearest neighbours (Å) after each atom.
Sites, in units of the cell vectors:
Nb  0.5000  0.5000  0.5000  12 W 3.35
W  0.0000  0.5000  0.0000  2 Ta 2.37
W  0.0000  0.0000  0.5000  2 Ta 2.37
W  0.5000  0.0000  0.0000  2 Ta 2.37
Ta  0.0000  0.0000  0.0000  6 W 2.37

Computed properties:
* DOS(E_F): 9.2 states/eV/f.u.
* raw total energy: -0.36686 hartree per atom
* calculated volume: 107 Å³/cell
* formation energy from the elements: 10.87 eV/f.u.
* symmetry: Pm-3m

Record 12
This record from Alexandria via LeMat-Bulk describes a relaxed Ta4NbW crystal. The functional is PBE.

Cell lengths 4.4774, 4.4773, 6.2874 Å; angles 90.00, 90.00, 90.00 degrees
With the nearest neighbours (Å) after each atom.
Sites, in units of the cell vectors:
Ta  0.5013  0.9972  0.2522  2 W 2.72, 2 Nb 2.75
Ta  0.5013  0.9973  0.7440  2 W 2.72, 2 Nb 2.75
Ta  0.0013  0.4973  0.7440  2 W 2.72, 2 Nb 2.75
Ta  0.0013  0.4973  0.2522  2 W 2.72, 2 Nb 2.75
Nb  0.5013  0.4973  0.9981  8 Ta 2.75
W  0.0013  0.9973  0.4981  8 Ta 2.72

Computed properties:
* DOS(E_F): 6.0 states/eV/f.u.
* raw total energy: -0.40301 hartree per atom
* calculated volume: 126 Å³/cell
* formation energy from the elements: 4.64 eV/f.u.
* symmetry: P4/mmm

Q: The lowest calculated volume belongs to which entry?
A: number 7